# 1
! P2RhSO | the Alexandria database | PBEsol | relaxed; values from VASP
&SYSTEM
  ibrav = 0, nat = 5, ntyp = 4
/
ATOMIC_SPECIES
P 30.97 P.upf
S 32.06 S.upf
Rh 102.91 Rh.upf
O 16.00 O.upf
CELL_PARAMETERS angstrom
-0.290 -1.050 -3.815
-2.706 -2.739 0.959
-3.059 2.830 -0.546
ATOMIC_POSITIONS angstrom
P -1.353 -1.370 0.480
P -0.145 -0.525 -1.908
S -1.530 1.415 -0.273
Rh -3.027 -0.480 -1.701
O 0.000 0.000 0.000
! - Formation energy from raw total energies: 0.4911 eV/atom


# 2
! Y2PPb | the Alexandria database | PBEsol | relaxed; values from VASP
&SYSTEM
  ibrav = 0, nat = 4, ntyp = 3
/
ATOMIC_SPECIES
P 30.97 P.upf
Pb 207.20 Pb.upf
Y 88.91 Y.upf
CELL_PARAMETERS angstrom
-0.308 -2.454 2.823
4.609 -1.768 -1.035
1.074 3.661 3.300
ATOMIC_POSITIONS angstrom
P -0.154 -1.227 1.411
Pb 2.688 -0.281 2.544
Y 2.305 -0.884 -0.517
Y 0.537 1.831 1.650
! - ΔE_f: -0.67 eV per atom
! - Energy above the lowest structure with this stoichiometry: 44.7 kJ per mole of atoms


# 3
! SrReBr | the Alexandria database | PBEsol | relaxed; values from VASP
&SYSTEM
  ibrav = 0, nat = 3, ntyp = 3
/
ATOMIC_SPECIES
Re 186.21 Re.upf
Br 79.90 Br.upf
Sr 87.62 Sr.upf
CELL_PARAMETERS angstrom
-3.177 3.148 -2.687
-4.586 -1.785 -1.735
-4.442 1.685 2.159
ATOMIC_POSITIONS angstrom
Re -6.103 1.524 -1.132
Br 0.000 0.000 0.000
Sr -3.051 0.762 -0.566
! - Formation energy from raw total energies: 1.3670 eV/atom


# 4
! SrCaSb2I | the Alexandria database | PBEsol | relaxed; values from VASP
&SYSTEM
  ibrav = 0, nat = 5, ntyp = 4
/
ATOMIC_SPECIES
I 126.90 I.upf
Sb 121.76 Sb.upf
Ca 40.08 Ca.upf
Sr 87.62 Sr.upf
CELL_PARAMETERS angstrom
5.711 0.000 0.000
0.000 6.004 0.000
0.000 0.000 6.004
ATOMIC_POSITIONS angstrom
I 0.000 0.000 0.000
Sb 0.000 0.000 3.002
Sb 0.000 3.002 0.000
Ca 2.856 3.002 3.002
Sr 2.856 0.000 0.000
! - Formation energy from raw total energies: 0.0776 eV/atom


# 5
! NbNiMo2 | the Alexandria database | PBEsol | relaxed; values from VASP
&SYSTEM
  ibrav = 0, nat = 4, ntyp = 3
/
ATOMIC_SPECIES
Ni 58.69 Ni.upf
Mo 95.94 Mo.upf
Nb 92.91 Nb.upf
CELL_PARAMETERS angstrom
-2.357 1.773 -3.223
-3.302 -2.240 -1.778
-4.125 1.236 0.736
ATOMIC_POSITIONS angstrom
Ni 0.000 0.000 0.000
Mo -2.446 0.192 -1.066
Mo -7.337 0.577 -3.199
Nb -4.892 0.384 -2.133
! - ΔE_f: 0.23 eV per atom


# 6
! AlBr4 | the Alexandria database | PBEsol | relaxed; values from VASP
&SYSTEM
  ibrav = 0, nat = 5, ntyp = 2
/
ATOMIC_SPECIES
Al 26.98 Al.upf
Br 79.90 Br.upf
CELL_PARAMETERS angstrom
-2.325 -1.881 -1.384
-0.016 -4.070 5.580
-5.657 3.526 0.959
ATOMIC_POSITIONS angstrom
Al 0.000 0.000 0.000
Br -2.177 -3.527 4.551
Br -3.451 -2.133 0.848
Br -5.822 1.102 0.604
Br -4.548 -0.292 4.306
! - Formation energy from raw total energies: -0.7200 eV/atom


Ρ for the records above, in order: 5.343; 7.374; 5.846; 4.018; 9.676; 3.939 g/cm3
Volume for the records above, in order: 66; 94; 100; 206; 59; 146 Å³/cell